Crystalline SrDyMg2Au4 at its relaxed geometry. Source: the Alexandria database, functional PBE-GGA.

**Calculated total energy**: -3.528 eV/atom

Unit cell a=4.7383 b=4.7383 c=28.5395 alpha=90.00 beta=90.00 gamma=120.00
Space group R-3m (No. 166, hexagonal axes)
Asymmetric unit:
1 Sr 0.0000 0.0000 0.0000 [3 per cell]
2 Dy 0.0000 0.0000 0.5000 [3 per cell]
3 Mg 0.0000 0.0000 0.2425 [6 per cell]
4 Au 0.0000 0.0000 0.1180 [6 per cell]
5 Au 0.0000 0.0000 0.3972 [6 per cell]

---

Crystalline TbDyMgAu at its relaxed geometry. Source: the Alexandria database, functional PBE-GGA.

**Calculated total energy**: -3.994 eV/atom

Unit cell a=3.706 b=3.706 c=7.290 alpha=90.00 beta=90.00 gamma=90.00
Space group P4mm (No. 99)
Asymmetric unit:
1 Tb 0.000 0.000 0.000 [1 per cell]
2 Dy 0.000 0.000 0.470 [1 per cell]
3 Mg 0.500 0.500 0.734 [1 per cell]
4 Au 0.500 0.500 0.239 [1 per cell]

---

Crystalline TbDyMgAu at its relaxed geometry. Source: the Alexandria database, functional PBE-GGA.

**Calculated total energy**: -3.934 eV/atom

Unit cell a=7.359 b=7.359 c=7.359 alpha=90.00 beta=90.00 gamma=90.00
Space group F-43m (No. 216)
Asymmetric unit:
1 Tb 0.000 0.000 0.000 [4 per cell]
2 Dy 0.000 0.000 0.500 [4 per cell]
3 Mg 0.250 0.250 0.750 [4 per cell]
4 Au 0.250 0.250 0.250 [4 per cell]

---

Crystalline DyThMgAu at its relaxed geometry. Source: the Alexandria database, functional PBE-GGA.

**Calculated total energy**: -4.477 eV/atom

Unit cell a=7.463 b=7.463 c=7.463 alpha=90.00 beta=90.00 gamma=90.00
Space group F-43m (No. 216)
Asymmetric unit:
1 Dy 0.000 0.000 0.000 [4 per cell]
2 Th 0.000 0.000 0.500 [4 per cell]
3 Mg 0.250 0.250 0.750 [4 per cell]
4 Au 0.250 0.250 0.250 [4 per cell]

---

> calculated total energy of number 3 (TbDyMgAu)?

-3.934 eV/atom